Material: AsC
Method: DFT, PBE
State: optimized geometry

* energy relative to the elements: 1.3 eV per formula unit
* crystal system: trigonal
* electronic total energy: -0.2315 hartree per atom
* energy relative to the lowest polymorph listed for this composition: 98 meV/atom

The structure in CIF format:
```
data_AsC
_cell_length_a 3.1222
_cell_length_b 3.1222
_cell_length_c 8.0431
_cell_angle_alpha 90.00
_cell_angle_beta 90.00
_cell_angle_gamma 120.00
_space_group_name_H-M_alt 'P -3 m 1'
_space_group_IT_number 164
_space_group_name_Hall '-P 3 2"'
loop_
_atom_site_label
_atom_site_fract_x
_atom_site_fract_y
_atom_site_fract_z
As1 0.3333 0.6667 0.2878
C1 0.0000 0.0000 0.4070
```